! GGA-PBE Zn6GaCu4, relaxed; values from VASP
! Formation enthalpy at 0 K ... 98 meV per atom
&SYSTEM
  ibrav = 0, nat = 11, ntyp = 3
/
ATOMIC_SPECIES
Zn 65.41 Zn.upf
Ga 69.72 Ga.upf
Cu 63.55 Cu.upf
CELL_PARAMETERS angstrom
-3.231 3.231 4.334
3.231 -3.231 4.334
3.231 3.231 -4.334
ATOMIC_POSITIONS angstrom
Zn 3.231 0.000 0.000
Zn 2.237 2.237 -2.347
Zn 0.994 0.994 1.987
Zn 0.000 3.231 0.000
Zn 0.994 -0.994 6.681
Zn -0.994 0.994 6.681
Ga 0.000 0.000 4.334
Cu 1.133 1.133 -0.505
Cu 2.098 -2.098 4.839
Cu 2.098 2.098 3.829
Cu -2.098 2.098 4.839